No. 1
Pm3Dy3Y5: optimized geometry, GGA-PBE.

Lattice parameters (Å, degrees): 11.200 11.200 3.462 90.00 90.00 120.00
Fractional coordinates of all 11 atoms:
Pm  0.000  0.599  0.000
Pm  0.401  0.401  0.000
Pm  0.599  0.000  0.000
Dy  0.000  0.842  0.500
Dy  0.158  0.158  0.500
Dy  0.842  0.000  0.500
Y  0.000  0.340  0.500
Y  0.333  0.667  0.500
Y  0.340  0.000  0.500
Y  0.660  0.660  0.500
Y  0.667  0.333  0.500

Calculated values
Its density of states at the Fermi level is 18.89 states/eV/f.u. As for the space group: P-62m. For the energy above the lowest structure with this stoichiometry, the calculation gives 6 meV/atom.

No. 2
RbLaVAu2: optimized geometry, GGA-PBE.

Lattice parameters (Å, degrees): 5.500 5.500 6.296 90.00 90.00 90.00
Fractional coordinates of all 5 atoms:
Rb  0.000  0.000  0.000
La  0.000  0.000  0.500
V  0.500  0.500  0.000
Au  0.000  0.500  0.500
Au  0.500  0.000  0.500

Calculated values
Its density of states at the Fermi level is 6.86 states/eV/f.u. The total energy is -3.265 eV/atom. As for the space group: P4/mmm.

No. 3
Zn3GaAg12: optimized geometry, GGA-PBE.

Lattice parameters (Å, degrees): 4.054 4.054 16.751 90.00 90.00 90.00
Fractional coordinates of all 16 atoms:
Zn  0.000  0.000  0.000
Zn  0.000  0.000  0.250
Zn  0.000  0.000  0.750
Ga  0.000  0.000  0.500
Ag  0.000  0.500  0.125
Ag  0.000  0.500  0.373
Ag  0.000  0.500  0.627
Ag  0.000  0.500  0.875
Ag  0.500  0.000  0.125
Ag  0.500  0.000  0.373
Ag  0.500  0.000  0.627
Ag  0.500  0.000  0.875
Ag  0.500  0.500  0.000
Ag  0.500  0.500  0.249
Ag  0.500  0.500  0.500
Ag  0.500  0.500  0.751

Calculated values
Its density of states at the Fermi level is 6.22 states/eV/f.u. The total energy is -2.571 eV/atom. As for the space group: P4/mmm.

No. 4
RbRe: optimized geometry, GGA-PBE.

Lattice parameters (Å, degrees): 5.787 5.787 5.787 60.00 60.00 60.00
Fractional coordinates of all 2 atoms:
Rb  0.000  0.000  0.000
Re  0.750  0.750  0.750

Calculated values
Its density of states at the Fermi level is 4.68 states/eV/f.u. As for the space group: F-43m. For the energy above the lowest structure with this stoichiometry, the calculation gives 2707 meV/atom.

No. 5
NdDyTmCd: optimized geometry, GGA-PBE.

Lattice parameters (Å, degrees): 3.614 3.614 9.016 90.00 90.00 90.00
Fractional coordinates of all 4 atoms:
Nd  0.000  0.000  0.000
Dy  0.500  0.500  0.719
Tm  0.500  0.500  0.278
Cd  0.000  0.000  0.494

Calculated values
Its density of states at the Fermi level is 3.99 states/eV/f.u. As for the space group: P4mm. For the energy above the lowest structure with this stoichiometry, the calculation gives 0 meV/atom.

No. 6
V2TcSnH: optimized geometry, GGA-PBE.

Lattice parameters (Å, degrees): 3.962 3.962 4.053 90.00 90.00 90.00
Fractional coordinates of all 5 atoms:
V  0.000  0.500  0.000
V  0.500  0.000  0.000
Tc  0.000  0.000  0.500
Sn  0.500  0.500  0.500
H  0.000  0.000  0.000

Calculated values
Its density of states at the Fermi level is 4.63 states/eV/f.u. The total energy is -7.229 eV/atom. As for the space group: P4/mmm.